NaCe2ErSe4 | PBE | relaxed

Structure (POSCAR):
```
NaCe2ErSe4
1.0
4.151 0.000 0.000
0.000 7.241 -0.163
0.000 2.526 6.764
Se Na Ce Er
4 1 2 1
Direct
0.500 0.264 0.742
0.500 0.736 0.258
0.000 0.742 0.746
0.000 0.258 0.254
0.500 0.500 0.000
0.000 0.000 0.000
0.500 0.000 0.500
0.000 0.500 0.500
```

Computed properties:
* crystal system: monoclinic
* spin magnetization: 0.309 μB/atom
* E_form (uncorrected): -1.697 eV/atom
* calculated total energy: -5.658 eV/atom
* space group: P2/m, No. 10

YAgS2 | PBE | relaxed

Structure (POSCAR):
```
YAgS2
1.0
-3.065 -0.052 -6.977
-5.721 -5.889 2.557
-4.144 4.801 1.785
S Ag Y
8 4 4
Direct
0.432 0.879 0.117
0.068 0.379 0.617
0.568 0.121 0.617
0.070 0.875 0.614
0.932 0.621 0.117
0.930 0.125 0.114
0.570 0.625 0.614
0.430 0.375 0.114
0.606 0.126 0.008
0.394 0.874 0.508
0.894 0.626 0.508
0.106 0.374 0.008
0.399 0.372 0.511
0.899 0.128 0.511
0.101 0.872 0.011
0.601 0.628 0.011
```

Computed properties:
* crystal system: orthorhombic
* spin magnetization: 0.000 μB/atom
* E_form (uncorrected): -1.176 eV/atom
* calculated total energy: -5.569 eV/atom
* space group: Pna2_1, No. 33